Here is TiMnRh after structural relaxation from Alexandria via LeMat-Bulk. Energies are from PBE-GGA.

abc: 3.039 3.039 5.158
angles: 107.13 107.13 90.00
Last column: magnetic moment on the atom in μB.
Element x y z (fractional)
Rh: 0.670 0.670 0.340  0.36
Mn: 0.997 0.997 0.994  3.05
Ti: 0.333 0.333 0.666  -0.55

Summary:
For the polymorph energy (0 for the lowest one), the calculation gives 0 meV/atom. Its final energy is -25.597 eV/cell. The calculation puts the formation energy at -394 meV/atom. Its theoretical density is 7.89 Mg/m³.